Record 1
DFT (PBE) results for a geometry-optimized Cr2Ge2Sb structure.

* excess energy over the best structure of this formula in the dataset: 0.0 kJ per mole of atoms
* formation energy from raw total energies: 201.6 meV/atom

Unit cell a=3.609 b=3.609 c=6.786 alpha=74.58 beta=74.58 gamma=90.00
Atoms (fractional coordinates):
Ge1 0.750 0.250 0.500
Ge2 0.250 0.750 0.500
Cr1 0.395 0.395 0.209
Cr2 0.605 0.605 0.791
Sb1 0.000 0.000 0.000

Record 2
DFT (PBE) results for a geometry-optimized La2CuO structure.

* formation energy from raw total energies: -1303.7 meV/atom

Unit cell a=6.760 b=6.760 c=6.548 alpha=58.92 beta=58.92 gamma=90.00
Atoms (fractional coordinates):
La1 0.375 0.440 0.750
La2 0.190 0.625 0.250
La3 0.560 0.125 0.250
La4 0.875 0.810 0.750
Cu1 0.750 0.250 0.500
Cu2 0.000 0.000 0.000
O1 0.250 0.750 0.500
O2 0.500 0.500 0.000

Record 3
DFT (PBE) results for a geometry-optimized YTm2Zr structure.

* excess energy over the best structure of this formula in the dataset: 0.0 kJ per mole of atoms
* formation energy: 0.052 eV per atom

Unit cell a=3.448 b=5.977 c=12.293 alpha=113.93 beta=98.07 gamma=90.02
Atoms (fractional coordinates):
Zr1 0.293 0.488 0.073
Zr2 0.793 0.976 0.072
Tm1 0.675 0.452 0.835
Tm2 0.911 0.845 0.307
Tm3 0.410 0.343 0.304
Tm4 0.176 0.953 0.838
Y1 0.542 0.897 0.570
Y2 0.041 0.396 0.568

One value per record, in order, for volume: 81.9 204.5 228.9 Å³ per cell.
One value per record, in order, for size of the total moment: 2.9 0.0 0.0 μB per cell.